# CaZnCl4 | Alexandria via LeMat-Bulk | PBE-GGA | relaxed
# Calculated total energy: -3.475 eV per atom
# DOS(E_F): 0.00 states/eV/cell
data_CaZnCl4
_chemical_formula_sum 'Ca2 Zn2 Cl8'
_cell_length_a 14.451
_cell_length_b 3.872
_cell_length_c 6.687
_cell_angle_alpha 90.00
_cell_angle_beta 116.80
_cell_angle_gamma 90.00
_symmetry_space_group_name_H-M 'C 1 2/m 1'
_symmetry_Int_Tables_number 12
_symmetry_space_group_name_Hall '-C 2y'
loop_
_atom_site_label
_atom_site_fract_x
_atom_site_fract_y
_atom_site_fract_z
Ca1 0.000 0.000 0.000
Zn1 0.000 0.500 0.500
Cl1 0.107 0.000 0.461
Cl2 0.109 0.500 0.910


# Ca2ZnCl6 | Alexandria via LeMat-Bulk | PBE-GGA | relaxed
# Calculated total energy: -3.666 eV per atom
# Polymorph energy (0 for the lowest one): 70 meV/atom
# DOS(E_F): 0.00 states/eV/cell
data_Ca2ZnCl6
_chemical_formula_sum 'Ca4 Zn2 Cl12'
_cell_length_a 13.771
_cell_length_b 3.880
_cell_length_c 11.422
_cell_angle_alpha 90.00
_cell_angle_beta 119.04
_cell_angle_gamma 90.00
_symmetry_space_group_name_H-M 'C 1 2/m 1'
_symmetry_Int_Tables_number 12
_symmetry_space_group_name_Hall '-C 2y'
loop_
_atom_site_label
_atom_site_fract_x
_atom_site_fract_y
_atom_site_fract_z
Ca1 0.191 0.000 0.314
Zn1 0.000 0.500 0.000
Cl1 0.014 0.500 0.218
Cl2 0.160 0.000 0.538
Cl3 0.191 0.500 0.112


# Ca4ZnCl | Alexandria via LeMat-Bulk | PBE-GGA | relaxed
# Calculated total energy: -1.703 eV per atom
# DOS(E_F): 33.04 states/eV/cell
data_Ca4ZnCl
_chemical_formula_sum 'Ca16 Zn4 Cl4'
_cell_length_a 9.823
_cell_length_b 9.823
_cell_length_c 9.823
_cell_angle_alpha 90.00
_cell_angle_beta 90.00
_cell_angle_gamma 90.00
_symmetry_space_group_name_H-M 'F -4 3 m'
_symmetry_Int_Tables_number 216
_symmetry_space_group_name_Hall 'F -4 2 3'
loop_
_atom_site_label
_atom_site_fract_x
_atom_site_fract_y
_atom_site_fract_z
Ca1 0.124 0.124 0.376
Zn1 0.250 0.250 0.750
Cl1 0.000 0.000 0.000


# CaZn2Cl6 | Alexandria via LeMat-Bulk | PBE-GGA | relaxed
# Calculated total energy: -3.264 eV per atom
# Polymorph energy (0 for the lowest one): 0 meV/atom
# DOS(E_F): 0.00 states/eV/cell
data_CaZn2Cl6
_chemical_formula_sum 'Ca2 Zn4 Cl12'
_cell_length_a 12.769
_cell_length_b 3.895
_cell_length_c 10.642
_cell_angle_alpha 90.00
_cell_angle_beta 95.68
_cell_angle_gamma 90.00
_symmetry_space_group_name_H-M 'C 1 2/m 1'
_symmetry_Int_Tables_number 12
_symmetry_space_group_name_Hall '-C 2y'
loop_
_atom_site_label
_atom_site_fract_x
_atom_site_fract_y
_atom_site_fract_z
Ca1 0.000 0.000 0.000
Zn1 0.212 0.500 0.729
Cl1 0.112 0.000 0.231
Cl2 0.131 0.500 0.922
Cl3 0.152 0.000 0.627


# CaZnCl4 | Alexandria via LeMat-Bulk | PBE-GGA | relaxed
# Calculated total energy: -2.116 eV per atom
# DOS(E_F): 11.54 states/eV/cell
data_CaZnCl4
_chemical_formula_sum 'Ca4 Zn4 Cl16'
_cell_length_a 8.483
_cell_length_b 8.483
_cell_length_c 8.483
_cell_angle_alpha 90.00
_cell_angle_beta 90.00
_cell_angle_gamma 90.00
_symmetry_space_group_name_H-M 'F -4 3 m'
_symmetry_Int_Tables_number 216
_symmetry_space_group_name_Hall 'F -4 2 3'
loop_
_atom_site_label
_atom_site_fract_x
_atom_site_fract_y
_atom_site_fract_z
Ca1 0.000 0.000 0.000
Zn1 0.250 0.250 0.250
Cl1 0.125 0.125 0.625


# CaZn3Cl | Alexandria via LeMat-Bulk | PBE-GGA | relaxed
# Calculated total energy: -1.303 eV per atom
# Polymorph energy (0 for the lowest one): 0 meV/atom
# DOS(E_F): 2.11 states/eV/cell
data_CaZn3Cl
_chemical_formula_sum 'Ca1 Zn3 Cl1'
_cell_length_a 5.183
_cell_length_b 5.183
_cell_length_c 5.183
_cell_angle_alpha 90.00
_cell_angle_beta 90.00
_cell_angle_gamma 90.00
_symmetry_space_group_name_H-M 'P m -3 m'
_symmetry_Int_Tables_number 221
_symmetry_space_group_name_Hall '-P 4 2 3'
loop_
_atom_site_label
_atom_site_fract_x
_atom_site_fract_y
_atom_site_fract_z
Ca1 0.000 0.000 0.000
Zn1 0.000 0.500 0.500
Cl1 0.500 0.500 0.500


# CaZnCl4 | Alexandria via LeMat-Bulk | PBE-GGA | relaxed
# Calculated total energy: -3.503 eV per atom
# DOS(E_F): 0.00 states/eV/cell
data_CaZnCl4
_chemical_formula_sum 'Ca4 Zn4 Cl16'
_cell_length_a 8.958
_cell_length_b 8.958
_cell_length_c 8.105
_cell_angle_alpha 90.00
_cell_angle_beta 90.00
_cell_angle_gamma 90.00
_symmetry_space_group_name_H-M 'I 41/a m d'
_symmetry_Int_Tables_number 141
loop_
_symmetry_equiv_pos_as_xyz
'x,y,z'
'-x,-y,-z'
'-y+1/4,x+3/4,z+1/4'
'y+1/4,-x+3/4,-z+1/4'
'-x+1/2,-y,z+1/2'
'x+1/2,y,-z+1/2'
'y+1/4,-x+1/4,z+3/4'
'-y+1/4,x+1/4,-z+3/4'
'x,-y,-z'
'-x,y,z'
'-y+1/4,-x+1/4,-z+3/4'
'y+1/4,x+1/4,z+3/4'
'-x+1/2,y,-z+1/2'
'x+1/2,-y,z+1/2'
'y+1/4,x+3/4,-z+1/4'
'-y+1/4,-x+3/4,z+1/4'
'x+1/2,y+1/2,z+1/2'
'-x+1/2,-y+1/2,-z+1/2'
'-y+3/4,x+1/4,z+3/4'
'y+3/4,-x+1/4,-z+3/4'
'-x,-y+1/2,z'
'x,y+1/2,-z'
'y+3/4,-x+3/4,z+1/4'
'-y+3/4,x+3/4,-z+1/4'
'x+1/2,-y+1/2,-z+1/2'
'-x+1/2,y+1/2,z+1/2'
'-y+3/4,-x+3/4,-z+1/4'
'y+3/4,x+3/4,z+1/4'
'-x,y+1/2,-z'
'x,-y+1/2,z'
'y+3/4,x+1/4,-z+3/4'
'-y+3/4,-x+1/4,z+3/4'
loop_
_atom_site_label
_atom_site_fract_x
_atom_site_fract_y
_atom_site_fract_z
Ca1 0.000 0.250 0.375
Zn1 0.000 0.250 0.875
Cl1 0.000 0.062 0.685


# CaZn4Cl | Alexandria via LeMat-Bulk | PBE-GGA | relaxed
# Calculated total energy: -1.696 eV per atom
# DOS(E_F): 6.15 states/eV/cell
data_CaZn4Cl
_chemical_formula_sum 'Ca4 Zn16 Cl4'
_cell_length_a 7.937
_cell_length_b 7.937
_cell_length_c 7.937
_cell_angle_alpha 90.00
_cell_angle_beta 90.00
_cell_angle_gamma 90.00
_symmetry_space_group_name_H-M 'F -4 3 m'
_symmetry_Int_Tables_number 216
_symmetry_space_group_name_Hall 'F -4 2 3'
loop_
_atom_site_label
_atom_site_fract_x
_atom_site_fract_y
_atom_site_fract_z
Ca1 0.000 0.000 0.000
Zn1 0.126 0.126 0.374
Cl1 0.250 0.250 0.750


# CaZrCl | Alexandria via LeMat-Bulk | PBE-GGA | relaxed
# Calculated total energy: -4.592 eV per atom
# Polymorph energy (0 for the lowest one): 181 meV/atom
# DOS(E_F): 5.85 states/eV/cell
data_CaZrCl
_chemical_formula_sum 'Ca2 Zr2 Cl2'
_cell_length_a 3.285
_cell_length_b 3.285
_cell_length_c 13.206
_cell_angle_alpha 90.00
_cell_angle_beta 90.00
_cell_angle_gamma 90.00
_symmetry_space_group_name_H-M 'I 4 m m'
_symmetry_Int_Tables_number 107
_symmetry_space_group_name_Hall 'I 4 -2'
loop_
_atom_site_label
_atom_site_fract_x
_atom_site_fract_y
_atom_site_fract_z
Ca1 0.000 0.000 0.000
Zr1 0.000 0.000 0.693
Cl1 0.000 0.000 0.337


# CaZrCl4 | Alexandria via LeMat-Bulk | PBE-GGA | relaxed
# Calculated total energy: -3.120 eV per atom
# DOS(E_F): 38.35 states/eV/cell
data_CaZrCl4
_chemical_formula_sum 'Ca4 Zr4 Cl16'
_cell_length_a 8.378
_cell_length_b 8.378
_cell_length_c 8.378
_cell_angle_alpha 90.00
_cell_angle_beta 90.00
_cell_angle_gamma 90.00
_symmetry_space_group_name_H-M 'F -4 3 m'
_symmetry_Int_Tables_number 216
_symmetry_space_group_name_Hall 'F -4 2 3'
loop_
_atom_site_label
_atom_site_fract_x
_atom_site_fract_y
_atom_site_fract_z
Ca1 0.000 0.000 0.000
Zr1 0.250 0.250 0.250
Cl1 0.125 0.125 0.625


# Ca4ZrCl | Alexandria via LeMat-Bulk | PBE-GGA | relaxed
# Calculated total energy: -2.652 eV per atom
# DOS(E_F): 29.17 states/eV/cell
data_Ca4ZrCl
_chemical_formula_sum 'Ca16 Zr4 Cl4'
_cell_length_a 9.651
_cell_length_b 9.651
_cell_length_c 9.651
_cell_angle_alpha 90.00
_cell_angle_beta 90.00
_cell_angle_gamma 90.00
_symmetry_space_group_name_H-M 'F -4 3 m'
_symmetry_Int_Tables_number 216
_symmetry_space_group_name_Hall 'F -4 2 3'
loop_
_atom_site_label
_atom_site_fract_x
_atom_site_fract_y
_atom_site_fract_z
Ca1 0.124 0.124 0.376
Zr1 0.250 0.250 0.750
Cl1 0.000 0.000 0.000


# Ca3ZrCl | Alexandria via LeMat-Bulk | PBE-GGA | relaxed
# Calculated total energy: -3.465 eV per atom
# Polymorph energy (0 for the lowest one): 0 meV/atom
# DOS(E_F): 1.60 states/eV/cell
data_Ca3ZrCl
_chemical_formula_sum 'Ca3 Zr1 Cl1'
_cell_length_a 5.444
_cell_length_b 5.444
_cell_length_c 5.444
_cell_angle_alpha 90.00
_cell_angle_beta 90.00
_cell_angle_gamma 90.00
_symmetry_space_group_name_H-M 'P m -3 m'
_symmetry_Int_Tables_number 221
_symmetry_space_group_name_Hall '-P 4 2 3'
loop_
_atom_site_label
_atom_site_fract_x
_atom_site_fract_y
_atom_site_fract_z
Ca1 0.000 0.000 0.500
Zr1 0.500 0.500 0.500
Cl1 0.000 0.000 0.000


| no. | magnetization (Bohr magnetons per cell) | formation energy without anion corrections (eV/atom) |
| --- | --- | --- |
| 1 | 0.00 | -1.698 |
| 2 | 0.00 | -1.849 |
| 3 | 0.00 | 0.152 |
| 4 | 0.00 | -1.527 |
| 5 | 8.14 | -0.339 |
| 6 | 0.00 | 0.231 |
| 7 | 0.00 | -1.726 |
| 8 | 0.00 | -0.205 |
| 9 | 1.05 | -0.460 |
| 10 | 8.02 | -0.131 |
| 11 | 14.77 | 0.415 |
| 12 | 3.07 | -0.185 |